Record 1
# La4Dy6Y GGA-PBE relaxed
# - Size of the total moment: 0.0 μB/f.u.
# - N(E_F): 1.43 states/eV/atom
# - E: -4.5968 eV/atom
# - Formation energy from the elements: 293 meV per atom
data_La4Dy6Y
_cell_length_a 6.778
_cell_length_b 6.778
_cell_length_c 16.976
_cell_angle_alpha 90.00
_cell_angle_beta 90.00
_cell_angle_gamma 90.00
_space_group_name_H-M_alt 'I -4 2 m'
_space_group_IT_number 121
_space_group_name_Hall 'I -4 2'
loop_
_atom_site_label
_atom_site_fract_x
_atom_site_fract_y
_atom_site_fract_z
_atom_site_occupancy
La1 0.190 0.190 0.178 1
Dy1 0.000 0.500 0.000 1
Dy2 0.174 0.174 0.382 1
Y1 0.000 0.000 0.000 1

Record 2
# La8Dy6Y GGA-PBE relaxed
# - Size of the total moment: 0.0 μB/f.u.
# - N(E_F): 1.65 states/eV/atom
# - E: -4.7374 eV/atom
# - Formation energy from the elements: 162 meV per atom
data_La8Dy6Y
_cell_length_a 9.4697
_cell_length_b 9.4697
_cell_length_c 6.6964
_cell_angle_alpha 90.00
_cell_angle_beta 90.00
_cell_angle_gamma 120.00
_space_group_name_H-M_alt 'P -3'
_space_group_IT_number 147
loop_
_space_group_symop_operation_xyz
'x,y,z'
'-x,-y,-z'
'-y,x-y,z'
'y,-x+y,-z'
'-x+y,-x,z'
'x-y,x,-z'
loop_
_atom_site_label
_atom_site_fract_x
_atom_site_fract_y
_atom_site_fract_z
_atom_site_occupancy
La1 0.0425 0.2941 0.1658 1
La2 0.3333 0.6667 0.1195 1
Dy1 0.0973 0.4354 0.6502 1
Y1 0.0000 0.0000 0.5000 1

Record 3
# La3DyY4 GGA-PBE relaxed
# - Size of the total moment: 0.0 μB/f.u.
# - N(E_F): 1.75 states/eV/atom
# - E: -5.5206 eV/atom
# - Excess energy over the best structure of this formula in the dataset: 0.108 eV per atom
# - Formation energy from the elements: 134 meV per atom
data_La3DyY4
_cell_length_a 3.512
_cell_length_b 11.868
_cell_length_c 13.227
_cell_angle_alpha 90.00
_cell_angle_beta 90.00
_cell_angle_gamma 90.00
_space_group_name_H-M_alt 'I m m m'
_space_group_IT_number 71
_space_group_name_Hall '-I 2 2'
loop_
_atom_site_label
_atom_site_fract_x
_atom_site_fract_y
_atom_site_fract_z
_atom_site_occupancy
La1 0.000 0.000 0.000 1
La2 0.000 0.500 0.244 1
Dy1 0.000 0.000 0.500 1
Y1 0.000 0.246 0.366 1

Record 4
# LaDy6Y8 GGA-PBE relaxed
# - Size of the total moment: 0.0 μB/f.u.
# - N(E_F): 1.49 states/eV/atom
# - E: -5.3882 eV/atom
# - Formation energy from the elements: 229 meV per atom
data_LaDy6Y8
_cell_length_a 9.4825
_cell_length_b 9.4825
_cell_length_c 6.5319
_cell_angle_alpha 90.00
_cell_angle_beta 90.00
_cell_angle_gamma 120.00
_space_group_name_H-M_alt 'P -3'
_space_group_IT_number 147
loop_
_space_group_symop_operation_xyz
'x,y,z'
'-x,-y,-z'
'-y,x-y,z'
'y,-x+y,-z'
'-x+y,-x,z'
'x-y,x,-z'
loop_
_atom_site_label
_atom_site_fract_x
_atom_site_fract_y
_atom_site_fract_z
_atom_site_occupancy
La1 0.0000 0.0000 0.0000 1
Dy1 0.0942 0.4153 0.9093 1
Y1 0.0269 0.6878 0.5959 1
Y2 0.3333 0.6667 0.3297 1